(1)
Material: Mg3TlI
Method: DFT, GGA-PBEsol
State: optimized geometry

Unit cell a=5.6433 b=5.6433 c=5.6433 alpha=90.00 beta=90.00 gamma=90.00
Space group Pm-3m (No. 221)
One atom of each set of equivalent atoms:
Mg1 0.0000 0.0000 0.5000 x3
Tl1 0.5000 0.5000 0.5000 x1
I1 0.0000 0.0000 0.0000 x1

Properties
The density of states at the Fermi level comes out at 0.69 states/eV per atom. As for the calculated total energy: -1.372 eV/atom. For the uncorrected formation energy, the calculation gives 537 meV per atom. The volume comes out at 180 Å³/f.u.

***

(2)
Material: TaSbO4
Method: DFT, GGA-PBEsol
State: optimized geometry

Unit cell a=5.5548 b=11.8214 c=4.9421 alpha=90.00 beta=90.00 gamma=90.00
Space group Pnna (No. 52)
One atom of each set of equivalent atoms:
Ta1 0.1173 0.2500 0.2500 x4
Sb1 0.2500 0.0000 0.7025 x4
O1 0.0771 0.0953 0.4185 x8
O2 0.1566 0.6965 0.5101 x8

Properties
The density of states at the Fermi level comes out at 0.00 states/eV per atom. As for the calculated total energy: -8.606 eV/atom. For the uncorrected formation energy, the calculation gives -2255 meV per atom. The volume comes out at 81 Å³/f.u.

***

(3)
Material: Sr5Sb3
Method: DFT, GGA-PBEsol
State: optimized geometry

Unit cell a=13.2257 b=9.9842 c=8.6705 alpha=90.00 beta=90.00 gamma=90.00
Space group Pnma (No. 62)
One atom of each set of equivalent atoms:
Sr1 0.0035 0.2500 0.0357 x4
Sr2 0.0813 0.0395 0.6888 x8
Sr3 0.2034 0.7500 0.3438 x4
Sr4 0.2255 0.2500 0.3182 x4
Sb1 0.0144 0.7500 0.5768 x4
Sb2 0.1715 0.5099 0.0588 x8

Properties
The density of states at the Fermi level comes out at 0.12 states/eV per atom. As for the calculated total energy: -3.864 eV/atom. For the uncorrected formation energy, the calculation gives -1005 meV per atom. The excess energy over the best structure of this formula in the dataset comes out at 17 meV per atom. The volume comes out at 286 Å³/f.u.

***

(4)
Material: K2AlPt
Method: DFT, GGA-PBEsol
State: optimized geometry

Unit cell a=3.4494 b=3.5870 c=9.9976 alpha=90.00 beta=90.00 gamma=90.00
Space group Pmm2 (No. 25)
One atom of each set of equivalent atoms:
K1 0.0000 0.0000 0.0000 x1
K2 0.5000 0.5000 0.4110 x1
Al1 0.5000 0.5000 0.7225 x1
Pt1 0.0000 0.0000 0.6790 x1

Properties
The density of states at the Fermi level comes out at 0.46 states/eV per atom. As for the calculated total energy: -3.492 eV/atom. The volume comes out at 124 Å³/f.u.

***

(5)
Material: Cr4As3
Method: DFT, GGA-PBEsol
State: optimized geometry

Unit cell a=12.8505 b=3.4650 c=9.0967 alpha=90.00 beta=102.92 gamma=90.00
Space group C2/m (No. 12)
One atom of each set of equivalent atoms:
Cr1 0.0000 0.0000 0.0000 x2
Cr2 0.0000 0.0000 0.5000 x2
Cr3 0.0675 0.5000 0.2060 x4
Cr4 0.1479 0.5000 0.9464 x4
Cr5 0.2179 0.0000 0.6709 x4
As1 0.0618 0.0000 0.7701 x4
As2 0.1408 0.5000 0.4817 x4
As3 0.1882 0.0000 0.1489 x4

Properties
The density of states at the Fermi level comes out at 0.83 states/eV per atom. As for the calculated total energy: -8.147 eV/atom. The volume comes out at 99 Å³/f.u.

***

(6)
Material: YPtW2Cl
Method: DFT, GGA-PBEsol
State: optimized geometry

Unit cell a=4.8051 b=4.8051 c=4.9709 alpha=90.00 beta=90.00 gamma=90.00
Space group P4/mmm (No. 123)
One atom of each set of equivalent atoms:
Y1 0.0000 0.0000 0.0000 x1
Pt1 0.5000 0.5000 0.5000 x1
W1 0.0000 0.5000 0.5000 x2
Cl1 0.5000 0.5000 0.0000 x1

Properties
The density of states at the Fermi level comes out at 1.51 states/eV per atom. As for the calculated total energy: -7.233 eV/atom. For the uncorrected formation energy, the calculation gives 1449 meV per atom. The volume comes out at 115 Å³/f.u.

***

(7)
Material: BaTe2IN
Method: DFT, GGA-PBEsol
State: optimized geometry

Unit cell a=6.6156 b=6.6156 c=4.6595 alpha=90.00 beta=90.00 gamma=90.00
Space group P4/mmm (No. 123)
One atom of each set of equivalent atoms:
Ba1 0.0000 0.0000 0.0000 x1
Te1 0.0000 0.5000 0.0000 x2
I1 0.5000 0.5000 0.5000 x1
N1 0.0000 0.0000 0.5000 x1

Properties
The density of states at the Fermi level comes out at 1.42 states/eV per atom. As for the calculated total energy: -2.929 eV/atom. For the uncorrected formation energy, the calculation gives 970 meV per atom. The volume comes out at 204 Å³/f.u.

***

(8)
Material: Tl2CdTe4
Method: DFT, GGA-PBEsol
State: optimized geometry

Unit cell a=6.1934 b=6.1934 c=12.6631 alpha=90.00 beta=90.00 gamma=90.00
Space group I-4 (No. 82)
One atom of each set of equivalent atoms:
Tl1 0.0000 0.0000 0.0000 x2
Tl2 0.0000 0.5000 0.2500 x2
Cd1 0.0000 0.0000 0.5000 x2
Te1 0.2062 0.7125 0.6403 x8

Properties
The density of states at the Fermi level comes out at 0.04 states/eV per atom. As for the calculated total energy: -3.069 eV/atom. For the uncorrected formation energy, the calculation gives -132 meV per atom. The excess energy over the best structure of this formula in the dataset comes out at 0 meV per atom. The volume comes out at 243 Å³/f.u.

***

(9)
Material: BeGa2RhN
Method: DFT, GGA-PBEsol
State: optimized geometry

Unit cell a=4.2140 b=4.2140 c=3.9542 alpha=90.00 beta=90.00 gamma=90.00
Space group P4/mmm (No. 123)
One atom of each set of equivalent atoms:
Be1 0.0000 0.0000 0.0000 x1
Ga1 0.0000 0.5000 0.0000 x2
Rh1 0.0000 0.0000 0.5000 x1
N1 0.5000 0.5000 0.5000 x1

Properties
The density of states at the Fermi level comes out at 0.62 states/eV per atom. As for the calculated total energy: -4.362 eV/atom. For the uncorrected formation energy, the calculation gives 1107 meV per atom. The volume comes out at 70 Å³/f.u.

***

(10)
Material: Na2BeSnAu
Method: DFT, GGA-PBEsol
State: optimized geometry

Unit cell a=5.3659 b=5.3659 c=4.3659 alpha=90.00 beta=90.00 gamma=90.00
Space group P4/mmm (No. 123)
One atom of each set of equivalent atoms:
Na1 0.0000 0.5000 0.0000 x2
Be1 0.0000 0.0000 0.5000 x1
Sn1 0.5000 0.5000 0.5000 x1
Au1 0.0000 0.0000 0.0000 x1

Properties
The density of states at the Fermi level comes out at 0.49 states/eV per atom. As for the calculated total energy: -2.697 eV/atom. The volume comes out at 126 Å³/f.u.

***

(11)
Material: Si3Hg
Method: DFT, GGA-PBEsol
State: optimized geometry

Unit cell a=6.5161 b=6.5161 c=6.5161 alpha=90.00 beta=90.00 gamma=90.00
Space group Fm-3m (No. 225)
One atom of each set of equivalent atoms:
Si1 0.0000 0.0000 0.0000 x4
Si2 0.2500 0.2500 0.2500 x8
Hg1 0.0000 0.0000 0.5000 x4

Properties
The density of states at the Fermi level comes out at 0.44 states/eV per atom. As for the calculated total energy: -3.862 eV/atom. For the uncorrected formation energy, the calculation gives 590 meV per atom. The excess energy over the best structure of this formula in the dataset comes out at 184 meV per atom. The volume comes out at 69 Å³/f.u.

***

(12)
Material: Hf2AlNi2
Method: DFT, GGA-PBEsol
State: optimized geometry

Unit cell a=6.9072 b=6.9072 c=3.2473 alpha=90.00 beta=90.00 gamma=90.00
Space group P4/mbm (No. 127)
One atom of each set of equivalent atoms:
Hf1 0.1705 0.3295 0.0000 x4
Al1 0.0000 0.0000 0.5000 x2
Ni1 0.1274 0.6274 0.5000 x4

Properties
The density of states at the Fermi level comes out at 0.75 states/eV per atom. As for the calculated total energy: -8.082 eV/atom. The volume comes out at 77 Å³/f.u.

***

(13)
Material: K2BeSb
Method: DFT, GGA-PBEsol
State: optimized geometry

Unit cell a=3.7200 b=3.7200 c=10.0010 alpha=90.00 beta=90.00 gamma=90.00
Space group P4mm (No. 99)
One atom of each set of equivalent atoms:
K1 0.0000 0.0000 0.0000 x1
K2 0.5000 0.5000 0.3964 x1
Be1 0.5000 0.5000 0.7043 x1
Sb1 0.0000 0.0000 0.6652 x1

Properties
The density of states at the Fermi level comes out at 0.61 states/eV per atom. As for the calculated total energy: -2.482 eV/atom. For the uncorrected formation energy, the calculation gives 224 meV per atom. The excess energy over the best structure of this formula in the dataset comes out at 216 meV per atom. The volume comes out at 138 Å³/f.u.

***

(14)
Material: HfCuPbBr2
Method: DFT, GGA-PBEsol
State: optimized geometry

Unit cell a=4.7186 b=4.7186 c=5.5017 alpha=90.00 beta=90.00 gamma=90.00
Space group P4/mmm (No. 123)
One atom of each set of equivalent atoms:
Hf1 0.0000 0.0000 0.0000 x1
Cu1 0.5000 0.5000 0.5000 x1
Pb1 0.5000 0.5000 0.0000 x1
Br1 0.0000 0.5000 0.5000 x2

Properties
The density of states at the Fermi level comes out at 0.67 states/eV per atom. As for the calculated total energy: -4.023 eV/atom. For the uncorrected formation energy, the calculation gives 492 meV per atom. The volume comes out at 122 Å³/f.u.

***

(15)
Material: ReOs2W
Method: DFT, GGA-PBEsol
State: optimized geometry

Unit cell a=6.1831 b=6.1831 c=6.1831 alpha=90.00 beta=90.00 gamma=90.00
Space group Fm-3m (No. 225)
One atom of each set of equivalent atoms:
Re1 0.0000 0.0000 0.0000 x4
Os1 0.2500 0.2500 0.2500 x8
W1 0.0000 0.0000 0.5000 x4

Properties
The density of states at the Fermi level comes out at 1.37 states/eV per atom. As for the calculated total energy: -12.338 eV/atom. The excess energy over the best structure of this formula in the dataset comes out at 522 meV per atom. The volume comes out at 59 Å³/f.u.

***

(16)
Material: InFeSb2
Method: DFT, GGA-PBEsol
State: optimized geometry

Unit cell a=9.5993 b=3.1888 c=6.1721 alpha=90.00 beta=111.38 gamma=90.00
Space group Cm (No. 8)
One atom of each set of equivalent atoms:
In1 0.0000 0.0000 0.0000 x2
Fe1 0.2259 0.5000 0.9928 x2
Sb1 0.1637 0.0000 0.6500 x2
Sb2 0.3429 0.0000 0.3342 x2

Properties
The density of states at the Fermi level comes out at 0.76 states/eV per atom. As for the calculated total energy: -5.162 eV/atom. For the uncorrected formation energy, the calculation gives 103 meV per atom. The volume comes out at 88 Å³/f.u.

***

(17)
Material: Al3Cr
Method: DFT, GGA-PBEsol
State: optimized geometry

Unit cell a=3.7890 b=3.7890 c=15.9618 alpha=90.00 beta=90.00 gamma=90.00
Space group I4/mmm (No. 139)
One atom of each set of equivalent atoms:
Al1 0.0000 0.0000 0.1235 x4
Al2 0.0000 0.5000 0.0000 x4
Al3 0.0000 0.5000 0.2500 x4
Cr1 0.0000 0.0000 0.3762 x4

Properties
The density of states at the Fermi level comes out at 0.49 states/eV per atom. As for the calculated total energy: -5.707 eV/atom. The volume comes out at 57 Å³/f.u.

***

(18)
Material: Er2GaNi2
Method: DFT, GGA-PBEsol
State: optimized geometry

Unit cell a=4.1233 b=5.2267 c=7.9949 alpha=90.00 beta=90.00 gamma=90.00
Space group Immm (No. 71)
One atom of each set of equivalent atoms:
Er1 0.0000 0.0000 0.2019 x4
Ga1 0.0000 0.5000 0.0000 x2
Ni1 0.0000 0.2675 0.5000 x4

Properties
The density of states at the Fermi level comes out at 0.61 states/eV per atom. As for the calculated total energy: -5.721 eV/atom. The volume comes out at 86 Å³/f.u.

***

(19)
Material: AgP4Cl
Method: DFT, GGA-PBEsol
State: optimized geometry

Unit cell a=7.7406 b=7.7406 c=7.7406 alpha=90.00 beta=90.00 gamma=90.00
Space group F-43m (No. 216)
One atom of each set of equivalent atoms:
Ag1 0.0000 0.0000 0.0000 x4
P1 0.1012 0.1012 0.6012 x16
Cl1 0.2500 0.2500 0.2500 x4

Properties
As for the calculated total energy: -4.493 eV/atom. For the uncorrected formation energy, the calculation gives 255 meV per atom. The volume comes out at 116 Å³/f.u.

***

(20)
Material: Ag3TePt
Method: DFT, GGA-PBEsol
State: optimized geometry

Unit cell a=4.9650 b=4.9650 c=4.9650 alpha=90.00 beta=90.00 gamma=90.00
Space group Pm-3m (No. 221)
One atom of each set of equivalent atoms:
Ag1 0.0000 0.0000 0.5000 x3
Te1 0.5000 0.5000 0.5000 x1
Pt1 0.0000 0.0000 0.0000 x1

Properties
The density of states at the Fermi level comes out at 0.95 states/eV per atom. As for the calculated total energy: -3.306 eV/atom. For the uncorrected formation energy, the calculation gives 778 meV per atom. The volume comes out at 122 Å³/f.u.

***

(21)
Material: Al2InBr
Method: DFT, GGA-PBEsol
State: optimized geometry

Unit cell a=3.2838 b=5.3380 c=5.0918 alpha=90.00 beta=93.65 gamma=90.00
Space group P2/m (No. 10)
One atom of each set of equivalent atoms:
Al1 0.2359 0.0000 0.2593 x2
In1 0.0000 0.5000 0.5000 x1
Br1 0.5000 0.5000 0.0000 x1

Properties
The density of states at the Fermi level comes out at 0.41 states/eV per atom. As for the calculated total energy: -3.168 eV/atom. For the uncorrected formation energy, the calculation gives 91 meV per atom. The excess energy over the best structure of this formula in the dataset comes out at 16 meV per atom. The volume comes out at 89 Å³/f.u.

***

(22)
Material: Rb3AsSe4
Method: DFT, GGA-PBEsol
State: optimized geometry

Unit cell a=9.5037 b=11.2246 c=10.1169 alpha=90.00 beta=90.00 gamma=90.00
Space group Pnma (No. 62)
One atom of each set of equivalent atoms:
Rb1 0.0590 0.0432 0.1908 x8
Rb2 0.1550 0.7500 0.4156 x4
As1 0.2376 0.7500 0.9727 x4
Se1 0.0221 0.7500 0.0883 x4
Se2 0.1362 0.0750 0.5248 x8
Se3 0.1879 0.7500 0.7470 x4

Properties
As for the calculated total energy: -3.748 eV/atom. For the uncorrected formation energy, the calculation gives -800 meV per atom. The volume comes out at 270 Å³/f.u.

***

(23)
Material: K2HgS
Method: DFT, GGA-PBEsol
State: optimized geometry

Unit cell a=7.6492 b=7.6492 c=7.6492 alpha=90.00 beta=90.00 gamma=90.00
Space group Fm-3m (No. 225)
One atom of each set of equivalent atoms:
K1 0.2500 0.2500 0.2500 x8
Hg1 0.0000 0.0000 0.0000 x4
S1 0.0000 0.0000 0.5000 x4

Properties
The density of states at the Fermi level comes out at 0.00 states/eV per atom. As for the calculated total energy: -2.500 eV/atom. For the uncorrected formation energy, the calculation gives -696 meV per atom. The volume comes out at 112 Å³/f.u.

***

(24)
Material: Sc2CuSe
Method: DFT, GGA-PBEsol
State: optimized geometry

Unit cell a=3.3212 b=4.5536 c=4.6079 alpha=90.00 beta=90.00 gamma=90.00
Space group Pmmm (No. 47)
One atom of each set of equivalent atoms:
Sc1 0.0000 0.0000 0.0000 x1
Sc2 0.0000 0.5000 0.5000 x1
Cu1 0.5000 0.0000 0.5000 x1
Se1 0.5000 0.5000 0.0000 x1

Properties
The density of states at the Fermi level comes out at 0.81 states/eV per atom. As for the calculated total energy: -6.045 eV/atom. For the uncorrected formation energy, the calculation gives -696 meV per atom. The volume comes out at 70 Å³/f.u.